The following is a GGA-PBE calculation of an optimized crystal structure of PaAl2Ga2, from Alexandria via LeMat-Bulk.

Geometry as POSCAR:
```
PaAl2Ga2
1.0
4.7216 0.0000 0.0000
-2.3608 4.0890 0.0000
0.0000 0.0000 11.8725
Ga Pa Al
4 2 4
direct
0.3333 0.6667 0.6185
0.6667 0.3333 0.3815
0.3333 0.6667 0.8815
0.6667 0.3333 0.1185
0.0000 0.0000 0.2500
0.0000 0.0000 0.7500
0.0000 0.0000 0.0000
0.3333 0.6667 0.2500
0.0000 0.0000 0.5000
0.6667 0.3333 0.7500
```

Output
Volume = 22.922 Å³ per atom
Total DFT energy (no corrections) = -4.292 eV/atom
Relative energy among the computed polymorphs = 120 meV per atom
Space group = P6_3/mmc
ρ = 6.1 g cm⁻³
Formation energy = 315 meV per atom